No. 1
The following is a GGA-PBE calculation of an optimized crystal structure of InMo2Pt, from Alexandria.

```
4
Lattice="9.6418 0.0056 0.0033 9.2111 2.8495 0.0033 9.2111 1.3950 2.4847" Properties=species:S:1:pos:R:3 pbc="T T T"
In 21.0812 3.1926 1.8714
Mo 27.9989 4.2402 2.4855
Mo 6.9615 1.0543 0.6180
Pt 14.1184 2.1381 1.2533
```

Values from the calculation:
Final energy (eV per atom): -7.4344
Size of the total moment (Bohr magnetons per cell): 0.000
V (Å³/f.u.): 68
Space group: R3m, No. 160
Fermi-level density of states (states/eV per atom): 0.424


No. 2
The following is a GGA-PBE calculation of an optimized crystal structure of UV2As2, from Alexandria.

```
5
Lattice="-0.5213 -3.1938 -3.4275 0.0055 -3.4485 3.2136 -3.6792 3.6158 0.4306" Properties=species:S:1:pos:R:3 pbc="T T T"
U -2.1003 0.2110 -1.4985
V -1.3872 -3.1833 -1.6853
V -2.8078 0.1568 1.9019
As -4.0660 -1.3660 0.2706
As -0.1290 -1.6606 -0.0539
```

Values from the calculation:
Final energy (eV per atom): -8.0866
Size of the total moment (Bohr magnetons per cell): 1.869
V (Å³/f.u.): 88
Space group: I4/mmm, No. 139
Fermi-level density of states (states/eV per atom): 1.228


No. 3
The following is a GGA-PBE calculation of an optimized crystal structure of Ho4ThSb5, from Alexandria.

```
10
Lattice="-4.0971 1.3342 0.9004 0.3485 -2.7111 5.6029 5.8434 10.0019 1.0080" Properties=species:S:1:pos:R:3 pbc="T T T"
Ho 3.1648 7.4261 3.3964
Ho 0.4838 4.8447 5.7823
Ho 1.6111 3.7803 1.7290
Ho -1.0699 1.1989 4.1148
Th 0.0000 0.0000 0.0000
Sb -1.2260 2.5971 1.3329
Sb 0.3384 6.2680 3.0119
Sb 1.7565 2.3571 4.4994
Sb 0.1743 -1.3555 2.8014
Sb 3.3209 6.0279 6.1784
```

Values from the calculation:
Final energy (eV per atom): -5.7084
Size of the total moment (Bohr magnetons per cell): 0.000
V (Å³/f.u.): 301
Space group: Immm, No. 71
Formation energy from raw total energies (meV per atom): -1074
Fermi-level density of states (states/eV per atom): 0.346


No. 4
The following is a GGA-PBE calculation of an optimized crystal structure of TcHgGeOsW, from Alexandria.

```
10
Lattice="7.4979 0.0000 0.0093 0.0000 2.9483 0.0000 -7.2704 0.0000 7.4915" Properties=species:S:1:pos:R:3 pbc="T T T"
Tc -5.4252 0.0000 7.3683
Tc -1.7900 1.4741 3.6226
Hg -4.3991 0.0000 4.6514
Hg -0.7639 1.4741 0.9056
Ge -1.5500 0.0000 5.7503
Ge 2.0852 1.4741 2.0046
Os 4.1592 0.0000 1.8850
Os 0.5240 1.4741 5.6307
W 0.3849 0.0000 3.4168
W -3.2503 1.4741 7.1626
```

Values from the calculation:
Final energy (eV per atom): -7.5718
Size of the total moment (Bohr magnetons per cell): 0.000
V (Å³/f.u.): 83
Space group: Cm, No. 8
Polymorph energy (0 for the lowest one) (meV per atom): 119
Fermi-level density of states (states/eV per atom): 0.547